1.
Entry from the Alexandria database: crystalline PmThMgPa at its relaxed geometry (PBE-GGA).

Cell lengths 5.4588, 5.4588, 5.4588 Å; angles 60.00, 60.00, 60.00 degrees
Closest atoms and distances in Å follow each position.
Positions (direct):
Mg: 0.0000 0.0000 0.0000  4 Th 3.34, 4 Pm 3.34
Pa: 0.5000 0.5000 0.5000  4 Pm 3.34, 4 Th 3.34
Th: 0.2500 0.2500 0.2500  4 Pa 3.34, 4 Mg 3.34
Pm: 0.7500 0.7500 0.7500  4 Mg 3.34, 4 Pa 3.34

Energy relative to the elements = 30 kJ per mole of atoms
Fermi-level density of states = 8.04 states/eV per cell
Magnetic moment = 0.00 μB per formula unit
Symmetry = F-43m

=====

2.
Entry from the Alexandria database: crystalline Ce2ThTc3 at its relaxed geometry (PBE-GGA).

Cell lengths 6.0246, 8.2543, 7.2980 Å; angles 124.44, 114.38, 90.00 degrees
Closest atoms and distances in Å follow each position.
Positions (direct):
Ce: 0.1665 0.9167 0.8334  6 Tc 2.70
Ce: 0.1669 0.4167 0.8334  6 Tc 2.70
Ce: 0.8331 0.5833 0.1666  6 Tc 2.70
Ce: 0.8335 0.0833 0.1666  6 Tc 2.70
Th: 0.5003 0.2500 0.5000  6 Ce 3.47-3.48, 12 Tc 3.65
Th: 0.4997 0.7500 0.5000  6 Ce 3.47-3.48, 12 Tc 3.65
Tc: 0.0000 0.7501 0.0000  4 Ce 2.70, 4 Tc 3.01
Tc: 0.0000 0.2499 0.0000  4 Ce 2.70, 4 Tc 3.01
Tc: 0.5000 0.7499 0.0000  4 Ce 2.70, 4 Tc 3.01
Tc: 0.0000 0.0000 0.5000  4 Ce 2.70, 4 Tc 3.01
Tc: 0.0000 0.5000 0.5000  4 Ce 2.70, 4 Tc 3.01
Tc: 0.5000 0.2501 0.0000  4 Ce 2.70, 4 Tc 3.01

Energy relative to the elements = 11 kJ per mole of atoms
Fermi-level density of states = 14.70 states/eV per cell
Magnetic moment = 0.00 μB per formula unit
Symmetry = P6/mmm

=====

3.
Entry from the Alexandria database: crystalline Na12Tl5Cd2 at its relaxed geometry (PBE-GGA).

Cell lengths 9.2702, 8.8984, 8.0224 Å; angles 91.05, 90.00, 121.39 degrees
Closest atoms and distances in Å follow each position.
Positions (direct):
Na: 0.9138 0.8277 0.1192  5 Na 3.27-3.48, 3 Tl 3.30-3.39, 2 Cd 3.47
Na: 0.0321 0.6898 0.7632  1 Cd 3.27, 4 Na 3.32-3.48, 4 Tl 3.40-3.64
Na: 0.6577 0.6898 0.7632  1 Cd 3.27, 4 Na 3.32-3.48, 4 Tl 3.40-3.64
Na: 0.1682 0.7437 0.3279  5 Na 3.29-3.67, 4 Tl 3.30-3.62, 1 Cd 3.32
Na: 0.5755 0.7437 0.3279  5 Na 3.29-3.67, 4 Tl 3.30-3.62, 1 Cd 3.32
Na: 0.4403 0.8806 0.6750  2 Cd 3.17, 2 Tl 3.21-3.33, 7 Na 3.32-3.50
Na: 0.5597 0.1194 0.3250  2 Cd 3.17, 2 Tl 3.21-3.33, 7 Na 3.32-3.50
Na: 0.8318 0.2563 0.6721  5 Na 3.29-3.67, 4 Tl 3.30-3.62, 1 Cd 3.32
Na: 0.4245 0.2563 0.6721  5 Na 3.29-3.67, 4 Tl 3.30-3.62, 1 Cd 3.32
Na: 0.9679 0.3102 0.2368  1 Cd 3.27, 4 Na 3.32-3.48, 4 Tl 3.40-3.64
Na: 0.3423 0.3102 0.2368  1 Cd 3.27, 4 Na 3.32-3.48, 4 Tl 3.40-3.64
Na: 0.0862 0.1723 0.8808  5 Na 3.27-3.48, 3 Tl 3.30-3.39, 2 Cd 3.47
Tl: 0.2351 0.4702 0.5715  8 Na 3.21-3.45, 1 Tl 3.51
Tl: 0.3025 0.6050 0.9926  8 Na 3.33-3.50, 2 Cd 3.39, 1 Tl 3.51
Tl: 0.0000 0.0000 0.5000  10 Na 3.30-3.64, 2 Tl 3.61
Tl: 0.6975 0.3950 0.0074  8 Na 3.33-3.50, 2 Cd 3.39, 1 Tl 3.51
Tl: 0.7649 0.5298 0.4285  8 Na 3.21-3.45, 1 Tl 3.51
Cd: 0.6705 0.0000 0.0000  1 Cd 3.16, 8 Na 3.17-3.47, 2 Tl 3.39
Cd: 0.3295 0.0000 0.0000  1 Cd 3.16, 8 Na 3.17-3.47, 2 Tl 3.39

Energy relative to the elements = -5 kJ per mole of atoms
Fermi-level density of states = 8.93 states/eV per cell
Magnetic moment = 0.00 μB per formula unit
Symmetry = C2/m
Energy above the most stable polymorph in this dataset = 23 meV per atom

=====

4.
Entry from the Alexandria database: crystalline Ba7Hg2Pd2 at its relaxed geometry (PBE-GGA).

Cell lengths 7.8799, 8.0678, 7.8799 Å; angles 90.00, 108.40, 90.00 degrees
Closest atoms and distances in Å follow each position.
Positions (direct):
Ba: 0.9998 0.2606 0.5003  2 Pd 3.16
Ba: 0.5003 0.7394 0.9998  2 Pd 3.16
Ba: 0.0002 0.7394 0.4997  2 Pd 3.16
Ba: 0.4997 0.2606 0.0002  2 Pd 3.16
Ba: 0.0000 0.0000 0.0000  2 Pd 3.70
Ba: 0.5002 0.7542 0.4998  2 Pd 3.34, 2 Hg 3.63
Ba: 0.4998 0.2458 0.5002  2 Pd 3.34, 2 Hg 3.63
Hg: 0.8253 0.5000 0.8253  1 Hg 3.22
Hg: 0.1747 0.5000 0.1747  1 Hg 3.22
Pd: 0.7104 0.0000 0.2896  6 Ba 3.16-3.34
Pd: 0.2896 0.0000 0.7104  6 Ba 3.16-3.34

Energy relative to the elements = -32 kJ per mole of atoms
Fermi-level density of states = 9.61 states/eV per cell
Magnetic moment = 0.00 μB per formula unit
Symmetry = Cmmm
Energy above the most stable polymorph in this dataset = 47 meV per atom

=====

5.
Entry from the Alexandria database: crystalline ScGaH3 at its relaxed geometry (PBE-GGA).

Cell lengths 3.6494, 3.6494, 3.6494 Å; angles 90.00, 90.00, 90.00 degrees
Closest atoms and distances in Å follow each position.
Positions (direct):
Sc: 0.5000 0.5000 0.5000  12 H 2.58
H: 0.0000 0.5000 0.0000  2 Ga 1.82
H: 0.0000 0.0000 0.5000  2 Ga 1.82
H: 0.5000 0.0000 0.0000  2 Ga 1.82
Ga: 0.0000 0.0000 0.0000  6 H 1.82

Fermi-level density of states = 3.39 states/eV per cell
Magnetic moment = 0.00 μB per formula unit
Symmetry = Pm-3m
Energy above the most stable polymorph in this dataset = 327 meV per atom

=====

6.
Entry from the Alexandria database: crystalline CeMnPH at its relaxed geometry (PBE-GGA).

Cell lengths 3.8228, 3.8228, 7.7788 Å; angles 90.00, 90.00, 90.00 degrees
Closest atoms and distances in Å follow each position.
Positions (direct):
Ce: 0.5000 0.0000 0.6813  4 H 2.38
Ce: 0.0000 0.5000 0.3187  4 H 2.38
Mn: 0.5000 0.5000 0.0000  4 P 2.28
Mn: 0.0000 0.0000 0.0000  4 P 2.28
P: 0.0000 0.5000 0.8396  4 Mn 2.28
P: 0.5000 0.0000 0.1604  4 Mn 2.28
H: 0.0000 0.0000 0.5000  4 Ce 2.38
H: 0.5000 0.5000 0.5000  4 Ce 2.38

Fermi-level density of states = 8.48 states/eV per cell
Magnetic moment = 0.88 μB per formula unit
Symmetry = P4/nmm
Electronic total energy = -0.251 Ha/atom